{"formula": "LuZnCuPb", "functional": "PBE", "state": "relaxed", "e_above_lowest_polymorph_mev_per_atom": 0, "spacegroup": "No. 216", "cell": [[0.000, 3.430, 3.430], [3.430, 0.000, 3.430], [3.430, 3.430, 0.000]], "species": ["Cu", "Lu", "Pb", "Zn"], "fractional_positions": [[0.750, 0.750, 0.750], [0.500, 0.500, 0.500], [0.000, 0.000, 0.000], [0.250, 0.250, 0.250]]}

{"formula": "LuCuPd", "functional": "PBE", "state": "relaxed", "e_above_lowest_polymorph_mev_per_atom": 0, "ef_ev_per_atom": -0.4285, "spacegroup": "No. 216", "cell": [[0.000, 3.140, 3.140], [3.140, 0.000, 3.140], [3.140, 3.140, 0.000]], "species": ["Cu", "Lu", "Pd"], "fractional_positions": [[0.250, 0.250, 0.250], [0.750, 0.750, 0.750], [0.000, 0.000, 0.000]]}

{"formula": "LuCuPd2", "functional": "PBE", "state": "relaxed", "ef_ev_per_atom": -0.5663, "spacegroup": "No. 216", "cell": [[3.137, 0.592, 3.269], [1.285, 4.218, 1.197], [-1.225, 1.696, 4.062]], "species": ["Cu", "Lu", "Pd", "Pd"], "fractional_positions": [[0.500, 0.500, 0.500], [0.250, 0.250, 0.250], [0.000, 0.000, 0.000], [0.750, 0.750, 0.750]]}

{"formula": "LuCuPd2", "functional": "PBE", "state": "relaxed", "ef_ev_per_atom": -0.5663, "spacegroup": "No. 216", "cell": [[0.002, 0.533, 4.538], [-3.711, 1.628, 2.111], [-2.529, -2.756, 2.625]], "species": ["Cu", "Lu", "Pd", "Pd"], "fractional_positions": [[0.250, 0.250, 0.250], [0.500, 0.500, 0.500], [0.000, 0.000, 0.000], [0.750, 0.750, 0.750]]}

{"formula": "LuCuPd", "functional": "PBE", "state": "relaxed", "e_above_lowest_polymorph_mev_per_atom": 336, "ef_ev_per_atom": -0.0920, "spacegroup": "No. 216", "cell": [[0.000, 3.176, 3.176], [3.176, 0.000, 3.176], [3.176, 3.176, 0.000]], "species": ["Cu", "Lu", "Pd"], "fractional_positions": [[0.250, 0.250, 0.250], [0.000, 0.000, 0.000], [0.750, 0.750, 0.750]]}

{"formula": "LuCuSnPd", "functional": "PBE", "state": "relaxed", "e_above_lowest_polymorph_mev_per_atom": 200, "spacegroup": "No. 216", "cell": [[0.000, 3.336, 3.336], [3.336, 0.000, 3.336], [3.336, 3.336, 0.000]], "species": ["Cu", "Lu", "Pd", "Sn"], "fractional_positions": [[0.750, 0.750, 0.750], [0.000, 0.000, 0.000], [0.500, 0.500, 0.500], [0.250, 0.250, 0.250]]}

{"formula": "LuCuSnPd", "functional": "PBE", "state": "relaxed", "e_above_lowest_polymorph_mev_per_atom": 0, "spacegroup": "No. 216", "cell": [[-2.819, -0.255, 3.747], [-2.460, 3.766, 1.348], [-4.662, 0.082, -0.559]], "species": ["Cu", "Lu", "Pd", "Sn"], "fractional_positions": [[0.750, 0.750, 0.750], [0.500, 0.500, 0.500], [0.250, 0.250, 0.250], [0.000, 0.000, 0.000]]}

{"formula": "LuCuSnPd", "functional": "PBE", "state": "relaxed", "e_above_lowest_polymorph_mev_per_atom": 234, "spacegroup": "No. 216", "cell": [[-2.295, -4.145, 0.343], [0.307, -2.562, 3.989], [-3.770, -0.398, 2.863]], "species": ["Cu", "Lu", "Pd", "Sn"], "fractional_positions": [[0.750, 0.750, 0.750], [0.250, 0.250, 0.250], [0.500, 0.500, 0.500], [0.000, 0.000, 0.000]]}

{"formula": "LuTlCuPd", "functional": "PBE", "state": "relaxed", "e_above_lowest_polymorph_mev_per_atom": 0, "spacegroup": "No. 216", "cell": [[0.000, 3.353, 3.353], [3.353, 0.000, 3.353], [3.353, 3.353, 0.000]], "species": ["Cu", "Lu", "Pd", "Tl"], "fractional_positions": [[0.750, 0.750, 0.750], [0.500, 0.500, 0.500], [0.250, 0.250, 0.250], [0.000, 0.000, 0.000]]}

{"formula": "LuTlCuPd", "functional": "PBE", "state": "relaxed", "e_above_lowest_polymorph_mev_per_atom": 137, "spacegroup": "No. 216", "cell": [[-2.927, 1.227, 3.578], [-2.446, 4.105, -0.211], [-4.737, -0.070, -0.655]], "species": ["Cu", "Lu", "Pd", "Tl"], "fractional_positions": [[0.750, 0.750, 0.750], [0.250, 0.250, 0.250], [0.500, 0.500, 0.500], [0.000, 0.000, 0.000]]}

{"formula": "LuZnCuPd", "functional": "PBE", "state": "relaxed", "e_above_lowest_polymorph_mev_per_atom": 0, "ef_ev_per_atom": -0.4983, "spacegroup": "No. 216", "cell": [[0.000, 3.228, 3.228], [3.228, 0.000, 3.228], [3.228, 3.228, 0.000]], "species": ["Cu", "Lu", "Pd", "Zn"], "fractional_positions": [[0.750, 0.750, 0.750], [0.500, 0.500, 0.500], [0.250, 0.250, 0.250], [0.000, 0.000, 0.000]]}

{"formula": "LuZnCuPd", "functional": "PBE", "state": "relaxed", "e_above_lowest_polymorph_mev_per_atom": 101, "ef_ev_per_atom": -0.3969, "spacegroup": "No. 216", "cell": [[0.000, 3.239, 3.239], [3.239, 0.000, 3.239], [3.239, 3.239, 0.000]], "species": ["Cu", "Lu", "Pd", "Zn"], "fractional_positions": [[0.750, 0.750, 0.750], [0.250, 0.250, 0.250], [0.500, 0.500, 0.500], [0.000, 0.000, 0.000]]}

{"formula": "PrLuCu", "functional": "PBE", "state": "relaxed", "e_above_lowest_polymorph_mev_per_atom": 0, "ef_ev_per_atom": 0.0656, "spacegroup": "No. 216", "cell": [[-1.929, -2.078, 3.953], [-0.090, 2.417, 4.221], [-4.225, 1.622, 1.785]], "species": ["Cu", "Lu", "Pr"], "fractional_positions": [[0.000, 0.000, 0.000], [0.250, 0.250, 0.250], [0.750, 0.750, 0.750]]}

{"formula": "PrLuCuSe3", "functional": "PBE", "state": "relaxed", "spacegroup": "No. 63", "cell": [[1.979, -6.702, 0.000], [1.979, 6.702, 0.000], [0.000, 0.000, 10.328]], "species": ["Cu", "Cu", "Lu", "Lu", "Pr", "Pr", "Se", "Se", "Se", "Se", "Se", "Se"], "fractional_positions": [[0.972, 0.028, 0.250], [0.028, 0.972, 0.750], [0.500, 0.500, 0.000], [0.500, 0.500, 0.500], [0.265, 0.735, 0.250], [0.735, 0.265, 0.750], [0.858, 0.142, 0.063], [0.587, 0.413, 0.250], [0.858, 0.142, 0.437], [0.142, 0.858, 0.563], [0.413, 0.587, 0.750], [0.142, 0.858, 0.937]]}

{"formula": "PrLuCu2Sn2", "functional": "PBE", "state": "relaxed", "spacegroup": "No. 156", "cell": [[4.545, 0.000, 0.000], [-2.273, 3.936, 0.000], [0.000, 0.000, 7.421]], "species": ["Cu", "Cu", "Lu", "Pr", "Sn", "Sn"], "fractional_positions": [[0.333, 0.667, 0.068], [0.667, 0.333, 0.525], [0.000, 0.000, 0.235], [0.000, 0.000, 0.736], [0.333, 0.667, 0.454], [0.667, 0.333, 0.981]]}

{"formula": "PrLuCuTe3", "functional": "PBE", "state": "relaxed", "spacegroup": "No. 63", "cell": [[2.090, -7.188, 0.000], [2.090, 7.188, 0.000], [0.000, 0.000, 11.012]], "species": ["Cu", "Cu", "Lu", "Lu", "Pr", "Pr", "Te", "Te", "Te", "Te", "Te", "Te"], "fractional_positions": [[0.467, 0.533, 0.250], [0.533, 0.467, 0.750], [0.000, 0.000, 0.000], [0.000, 0.000, 0.500], [0.766, 0.234, 0.250], [0.234, 0.766, 0.750], [0.355, 0.645, 0.060], [0.086, 0.914, 0.250], [0.355, 0.645, 0.440], [0.645, 0.355, 0.560], [0.914, 0.086, 0.750], [0.645, 0.355, 0.940]]}

{"formula": "Lu2CuPt", "functional": "PBE", "state": "relaxed", "ef_ev_per_atom": -0.4905, "spacegroup": "No. 216", "cell": [[0.000, 3.323, 3.323], [3.323, 0.000, 3.323], [3.323, 3.323, 0.000]], "species": ["Cu", "Lu", "Lu", "Pt"], "fractional_positions": [[0.250, 0.250, 0.250], [0.000, 0.000, 0.000], [0.750, 0.750, 0.750], [0.500, 0.500, 0.500]]}

{"formula": "LuCuSbPt", "functional": "PBE", "state": "relaxed", "e_above_lowest_polymorph_mev_per_atom": 0, "spacegroup": "No. 216", "cell": [[0.000, 3.353, 3.353], [3.353, 0.000, 3.353], [3.353, 3.353, 0.000]], "species": ["Cu", "Lu", "Pt", "Sb"], "fractional_positions": [[0.750, 0.750, 0.750], [0.500, 0.500, 0.500], [0.250, 0.250, 0.250], [0.000, 0.000, 0.000]]}

{"formula": "LuCuSbPt", "functional": "PBE", "state": "relaxed", "e_above_lowest_polymorph_mev_per_atom": 144, "spacegroup": "No. 216", "cell": [[0.000, 3.375, 3.375], [3.375, 0.000, 3.375], [3.375, 3.375, 0.000]], "species": ["Cu", "Lu", "Pt", "Sb"], "fractional_positions": [[0.750, 0.750, 0.750], [0.250, 0.250, 0.250], [0.500, 0.500, 0.500], [0.000, 0.000, 0.000]]}

{"formula": "LuCuSiPt", "functional": "PBE", "state": "relaxed", "e_above_lowest_polymorph_mev_per_atom": 161, "spacegroup": "No. 216", "cell": [[-1.256, -4.375, 0.237], [-3.867, -1.371, -1.985], [0.155, -2.621, -3.726]], "species": ["Cu", "Lu", "Pt", "Si"], "fractional_positions": [[0.750, 0.750, 0.750], [0.250, 0.250, 0.250], [0.500, 0.500, 0.500], [0.000, 0.000, 0.000]]}

{"formula": "LuCuSiPt", "functional": "PBE", "state": "relaxed", "e_above_lowest_polymorph_mev_per_atom": 0, "spacegroup": "No. 216", "cell": [[0.000, 3.191, 3.191], [3.191, 0.000, 3.191], [3.191, 3.191, 0.000]], "species": ["Cu", "Lu", "Pt", "Si"], "fractional_positions": [[0.750, 0.750, 0.750], [0.500, 0.500, 0.500], [0.250, 0.250, 0.250], [0.000, 0.000, 0.000]]}

{"formula": "LuCuSiPt", "functional": "PBE", "state": "relaxed", "e_above_lowest_polymorph_mev_per_atom": 45, "spacegroup": "No. 216", "cell": [[2.007, -3.570, -1.831], [0.680, -3.694, 2.452], [-2.366, -3.717, -0.841]], "species": ["Cu", "Lu", "Pt", "Si"], "fractional_positions": [[0.750, 0.750, 0.750], [0.000, 0.000, 0.000], [0.500, 0.500, 0.500], [0.250, 0.250, 0.250]]}

{"formula": "LuTlCuPt", "functional": "PBE", "state": "relaxed", "e_above_lowest_polymorph_mev_per_atom": 118, "spacegroup": "No. 216", "cell": [[-1.362, -3.282, 3.173], [-4.545, -0.204, 1.415], [-2.760, -3.635, -1.368]], "species": ["Cu", "Lu", "Pt", "Tl"], "fractional_positions": [[0.750, 0.750, 0.750], [0.250, 0.250, 0.250], [0.500, 0.500, 0.500], [0.000, 0.000, 0.000]]}

{"formula": "LuTlCuPt", "functional": "PBE", "state": "relaxed", "e_above_lowest_polymorph_mev_per_atom": 0, "spacegroup": "No. 216", "cell": [[-1.476, 0.820, 4.440], [1.519, 3.848, 2.335], [-2.996, 3.578, 0.884]], "species": ["Cu", "Lu", "Pt", "Tl"], "fractional_positions": [[0.750, 0.750, 0.750], [0.500, 0.500, 0.500], [0.250, 0.250, 0.250], [0.000, 0.000, 0.000]]}

{"formula": "LuZnCuPt", "functional": "PBE", "state": "relaxed", "e_above_lowest_polymorph_mev_per_atom": 0, "ef_ev_per_atom": -0.6150, "spacegroup": "No. 216", "cell": [[-0.119, -4.549, -0.397], [-3.909, -2.096, -1.093], [-0.488, -1.921, -4.116]], "species": ["Cu", "Lu", "Pt", "Zn"], "fractional_positions": [[0.750, 0.750, 0.750], [0.500, 0.500, 0.500], [0.250, 0.250, 0.250], [0.000, 0.000, 0.000]]}

{"formula": "LuZnCuPt", "functional": "PBE", "state": "relaxed", "e_above_lowest_polymorph_mev_per_atom": 106, "ef_ev_per_atom": -0.5089, "spacegroup": "No. 216", "cell": [[-2.793, -1.827, 3.138], [-4.067, 1.930, 0.847], [-3.851, -2.106, -1.310]], "species": ["Cu", "Lu", "Pt", "Zn"], "fractional_positions": [[0.750, 0.750, 0.750], [0.250, 0.250, 0.250], [0.500, 0.500, 0.500], [0.000, 0.000, 0.000]]}

{"formula": "Rb2Lu4Cu4S9", "functional": "PBE", "state": "relaxed", "spacegroup": "No. 12", "cell": [[-5.088, 2.353, 4.422], [-6.263, -1.163, 3.225], [11.339, -6.701, 8.553]], "species": ["Cu", "Cu", "Cu", "Cu", "Lu", "Lu", "Lu", "Lu", "Rb", "Rb", "S", "S", "S", "S", "S", "S", "S", "S", "S"], "fractional_positions": [[0.749, 0.749, 0.230], [0.070, 0.070, 0.460], [0.930, 0.930, 0.540], [0.251, 0.251, 0.770], [0.154, 0.154, 0.055], [0.268, 0.268, 0.396], [0.732, 0.732, 0.604], [0.846, 0.846, 0.945], [0.471, 0.471, 0.229], [0.529, 0.529, 0.771], [0.500, 0.500, 0.000], [0.794, 0.794, 0.098], [0.156, 0.156, 0.223], [0.890, 0.890, 0.375], [0.643, 0.643, 0.426], [0.357, 0.357, 0.574], [0.110, 0.110, 0.625], [0.844, 0.844, 0.777], [0.206, 0.206, 0.902]]}

{"formula": "RbLu2CuSe3S", "functional": "PBE", "state": "relaxed", "spacegroup": "No. 63", "cell": [[2.676, 2.265, -6.388], [-4.414, 1.293, 5.652], [10.483, 6.508, 6.699]], "species": ["Cu", "Cu", "Lu", "Lu", "Lu", "Lu", "Rb", "Rb", "S", "S", "Se", "Se", "Se", "Se", "Se", "Se"], "fractional_positions": [[0.340, 0.660, 0.250], [0.660, 0.340, 0.750], [0.867, 0.133, 0.068], [0.867, 0.133, 0.432], [0.133, 0.867, 0.568], [0.133, 0.867, 0.932], [0.603, 0.397, 0.250], [0.397, 0.603, 0.750], [0.924, 0.076, 0.250], [0.076, 0.924, 0.750], [0.500, 0.500, 0.000], [0.236, 0.764, 0.108], [0.236, 0.764, 0.392], [0.500, 0.500, 0.500], [0.764, 0.236, 0.608], [0.764, 0.236, 0.892]]}

Summary of electronic total energy in eV/atom
-3.396; -4.901; -5.214; -5.214; -4.564; -4.790; -4.990; -4.755; -4.347; -4.210; -4.168; -4.067; -4.273; -5.306; -4.699; -4.766; -5.196; -5.206; -5.063; -5.367; -5.528; -5.483; -4.509; -4.627; -4.505; -4.399; -5.197; -5.040
(order as listed above)